Compound: TiInBi
Source: the Alexandria database
Functional: GGA-PBE
Structure: optimized geometry

Results
As for the density of states at the Fermi level: 5.44 states/eV/cell. The offset from the most stable computed form comes out at 6 kJ/mol of formula units. The space-group type is Ima2 (46). For the total energy, the calculation gives -4.896 eV/atom. The value obtained for the energy relative to the elements is -58.1 meV/atom.

abc: 5.7869 5.7869 5.7869
angles: 120.37 106.05 102.59
Atoms (fractional coordinates):
Ti (0.0000, 0.0000, 0.0000)
Ti (0.0000, 0.5000, 0.5000)
In (0.5045, 0.4279, 0.5765)
In (0.8514, 0.9279, 0.4235)
Bi (0.1461, 0.5713, 0.0748)
Bi (0.4965, 0.0713, 0.9252)